A relaxed structure of Ho3Zn3Ru2. Source: the Alexandria database, functional GGA-PBE.

Summary:
Symmetry: No. 63
Crystal system: orthorhombic

The structure in POSCAR format:
```
Ho3Zn3Ru2
1.0
-1.770 1.197 -3.191
-0.856 -5.315 0.792
-13.497 3.485 8.796
Ho Zn Ru
6 6 4
Direct
0.939 0.877 0.394
0.061 0.123 0.894
0.939 0.877 0.106
0.061 0.123 0.606
0.662 0.324 0.250
0.338 0.676 0.750
0.656 0.311 0.473
0.344 0.689 0.973
0.656 0.311 0.027
0.344 0.689 0.527
0.376 0.751 0.250
0.624 0.249 0.750
0.771 0.543 0.878
0.229 0.457 0.378
0.771 0.543 0.622
0.229 0.457 0.122
```

***

A relaxed structure of Ho5ZnRu2. Source: the Alexandria database, functional GGA-PBE.

Summary:
Symmetry: No. 140
Crystal system: tetragonal

The structure in POSCAR format:
```
Ho5ZnRu2
1.0
-3.708 6.747 -0.271
-6.652 -3.703 -1.178
4.204 -1.801 7.113
Ho Zn Ru
10 2 4
Direct
0.521 0.705 0.727
0.795 0.979 0.273
0.000 0.000 0.000
0.500 0.500 0.000
0.205 0.021 0.727
0.705 0.205 0.727
0.021 0.521 0.727
0.295 0.795 0.273
0.979 0.479 0.273
0.479 0.295 0.273
0.750 0.750 0.500
0.250 0.250 0.500
0.142 0.358 0.000
0.642 0.142 0.000
0.358 0.858 0.000
0.858 0.642 0.000
```

***

A relaxed structure of Ho2ZnRu. Source: the Alexandria database, functional GGA-PBE.

Summary:
Symmetry: No. 123
Offset from the most stable computed form in eV per atom: 0.0000
Crystal system: tetragonal

The structure in POSCAR format:
```
Ho2ZnRu
1.0
-0.113 -1.105 -3.244
1.761 -2.804 0.893
-6.178 -3.438 1.387
Ru Zn Ho
1 1 2
Direct
0.500 0.500 0.000
0.500 0.500 0.500
0.000 0.000 0.771
0.000 0.000 0.229
```

***

A relaxed structure of Ho3ZnRu. Source: the Alexandria database, functional GGA-PBE.

Summary:
Symmetry: No. 69
Offset from the most stable computed form in eV per atom: 0.0000
Crystal system: orthorhombic

The structure in POSCAR format:
```
Ho3ZnRu
1.0
-0.296 -2.315 5.216
5.242 -0.324 -2.251
-0.678 8.255 1.699
Ho Zn Ru
6 2 2
Direct
0.304 0.804 0.109
0.696 0.196 0.891
0.077 0.210 0.287
0.923 0.790 0.713
0.710 0.577 0.287
0.290 0.423 0.713
0.695 0.195 0.500
0.305 0.805 0.500
0.250 0.250 0.000
0.750 0.750 0.000
```

***

A relaxed structure of Ho7Zn2Ru2. Source: the Alexandria database, functional GGA-PBE.

Summary:
Symmetry: No. 65
Crystal system: orthorhombic

The structure in POSCAR format:
```
Ho7Zn2Ru2
1.0
-0.670 6.454 -1.084
-6.764 -1.022 -1.901
-1.522 -1.500 6.221
Ho Zn Ru
7 2 2
Direct
0.000 0.264 0.500
0.500 0.736 0.000
0.000 0.736 0.500
0.500 0.264 0.000
0.000 0.000 0.000
0.500 0.750 0.500
0.500 0.250 0.500
0.832 0.500 0.832
0.168 0.500 0.168
0.699 0.000 0.301
0.301 0.000 0.699
```

***

A relaxed structure of Ho2ZrRu. Source: the Alexandria database, functional GGA-PBE.

Summary:
Symmetry: No. 123
Offset from the most stable computed form in eV per atom: 0.0000
Crystal system: tetragonal

The structure in POSCAR format:
```
Ho2ZrRu
1.0
3.392 0.000 0.000
0.000 3.392 0.000
0.000 0.000 8.066
Ru Ho Zr
1 2 1
Direct
0.500 0.500 0.000
0.000 0.000 0.794
0.000 0.000 0.206
0.500 0.500 0.500
```

***

A relaxed structure of HoZrRu. Source: the Alexandria database, functional GGA-PBE.

Summary:
Symmetry: No. 107
Offset from the most stable computed form in eV per atom: 0.0000
Crystal system: tetragonal

The structure in POSCAR format:
```
HoZrRu
1.0
-0.863 2.550 1.996
-1.098 -2.173 2.302
6.203 -0.293 0.243
Ru Ho Zr
1 1 1
Direct
0.677 0.677 0.354
0.019 0.019 0.037
0.304 0.304 0.608
```

***

A relaxed structure of Ho5ZrRu6. Source: the Alexandria database, functional GGA-PBE.

Summary:
Symmetry: No. 12
Crystal system: monoclinic

The structure in POSCAR format:
```
Ho5ZrRu6
1.0
4.600 0.003 -1.285
-3.429 6.637 -3.428
-0.187 -0.954 8.162
Ru Ho Zr
6 5 1
Direct
0.244 0.082 0.406
0.756 0.594 0.918
0.739 0.239 0.239
0.261 0.761 0.761
0.244 0.406 0.082
0.756 0.918 0.594
0.500 0.167 0.833
0.000 0.334 0.666
0.500 0.500 0.500
0.000 0.666 0.334
0.500 0.833 0.167
0.000 0.000 0.000
```

***

A relaxed structure of HoZrRu2. Source: the Alexandria database, functional GGA-PBE.

Summary:
Symmetry: No. 225
Crystal system: cubic

The structure in POSCAR format:
```
HoZrRu2
1.0
4.704 0.000 0.000
2.352 4.061 0.342
2.352 1.030 3.942
Ru Ho Zr
2 1 1
Direct
0.000 0.000 0.000
0.500 0.500 0.500
0.750 0.750 0.750
0.250 0.250 0.250
```

***

A relaxed structure of Ho4ZrRu5. Source: the Alexandria database, functional GGA-PBE.

Summary:
Symmetry: No. 123
Crystal system: tetragonal

The structure in POSCAR format:
```
Ho4ZrRu5
1.0
3.354 0.000 0.000
0.000 3.354 0.000
0.000 0.000 16.874
Ho Zr Ru
4 1 5
Direct
0.000 0.000 0.199
0.000 0.000 0.399
0.000 0.000 0.601
0.000 0.000 0.801
0.000 0.000 0.000
0.500 0.500 0.092
0.500 0.500 0.297
0.500 0.500 0.500
0.500 0.500 0.703
0.500 0.500 0.908
```

***

A relaxed structure of HoZrRu. Source: the Alexandria database, functional GGA-PBE.

Summary:
Symmetry: No. 166
Offset from the most stable computed form in eV per atom: 0.0777
Crystal system: trigonal

The structure in POSCAR format:
```
HoZrRu
1.0
-1.530 -1.011 -4.179
-1.862 -4.085 -0.821
-8.196 1.140 0.233
Ru Zr Ho
2 2 2
Direct
0.000 0.000 0.000
0.500 0.500 0.500
0.373 0.373 0.882
0.627 0.627 0.118
0.123 0.123 0.631
0.877 0.877 0.369
```

***

A relaxed structure of Ho2ZrRu. Source: the Alexandria database, functional GGA-PBE.

Summary:
Symmetry: No. 166
Offset from the most stable computed form in eV per atom: 0.3625
Crystal system: trigonal

The structure in POSCAR format:
```
Ho2ZrRu
1.0
-1.908 -0.441 2.630
-0.843 -3.031 0.924
7.597 -1.669 7.276
Ru Ho Zr
1 2 1
Direct
0.500 0.500 0.500
0.101 0.101 0.696
0.899 0.899 0.304
0.000 0.000 0.000
```

***

What total energy values result from the calculations? In sequence: -77.64; -91.25; -21.39; -52.17; -55.22; -27.57; -23.28; -92.01; -33.75; -77.51; -46.09; -26.12 eV per cell.
What M_tot values result from the calculations? In sequence: 0.000; 0.000; 0.000; 0.000; 0.000; 0.000; 1.012; 0.000; 0.000; 0.000; 0.000; 0.000 μB/f.u..